[1]
Density functional theory data (PBE-GGA) for an optimized crystal structure of SrSN.

Results
* crystal system: trigonal
* energy above the lowest structure with this stoichiometry: 831 meV/atom
* E_form (uncorrected): -143 kJ/mol of formula units

a b c (Å): 4.1985 4.1985 26.1063
angles (deg): 90.00 90.00 120.00
Last column: nearest neighbours and their distance in Å.
Space group R3m (No. 160, hexagonal axes)
One atom of each set of equivalent atoms:
Sr (0.0000, 0.0000, 0.0000) x3  1 N 2.46
Sr (0.0000, 0.0000, 0.1969) x3  4 N 2.53-2.68
S (0.0000, 0.0000, 0.6095) x3  3 Sr 2.85
S (0.0000, 0.0000, 0.7768) x3  1 N 1.53
N (0.0000, 0.0000, 0.0944) x3  3 S 2.46, 2 Sr 2.46-2.68
N (0.0000, 0.0000, 0.8353) x3  1 S 1.53

---

[2]
Density functional theory data (PBE-GGA) for an optimized crystal structure of SrS2N2.

Results
* crystal system: tetragonal
* energy above the lowest structure with this stoichiometry: 1185 meV/atom
* E_form (uncorrected): 909 kJ/mol of formula units

a b c (Å): 5.9252 5.9252 5.2107
angles (deg): 90.00 90.00 90.00
Last column: nearest neighbours and their distance in Å.
Space group P4/mmm (No. 123)
One atom of each set of equivalent atoms:
Sr (0.0000, 0.0000, 0.0000) x1  2 N 2.61
S (0.0000, 0.5000, 0.0000) x2  2 Sr 2.96
N (0.0000, 0.0000, 0.5000) x1  2 Sr 2.61
N (0.5000, 0.5000, 0.5000) x1  8 S 3.95, 4 N 4.19

---

[3]
Density functional theory data (PBE-GGA) for an optimized crystal structure of Sr3SN.

Results
* crystal system: cubic
* energy above the lowest structure with this stoichiometry: 0 meV/atom
* E_form (uncorrected): -398 kJ/mol of formula units

a b c (Å): 5.1416 5.1416 5.1416
angles (deg): 90.00 90.00 90.00
Last column: nearest neighbours and their distance in Å.
Space group Pm-3m (No. 221)
One atom of each set of equivalent atoms:
Sr (0.0000, 0.0000, 0.5000) x3  2 N 2.57
S (0.5000, 0.5000, 0.5000) x1  12 Sr 3.64
N (0.0000, 0.0000, 0.0000) x1  6 Sr 2.57

---

The following raw total energy values (in eV/atom) correspond, in order, to the records above: -5.206 -3.434 -4.325.
The following V values (in A^3/atom) correspond, in order, to the records above: 22.1 36.6 27.2.